# ZrHgSCl2 (PBEsol, relaxed)
# Total magnetic moment, μB/atom: 0.0000
# D(E_F), states/eV per cell: 1.2
# Formation energy without anion corrections, kcal/mol of atoms: -24.5
data_ZrHgSCl2
_chemical_formula_sum 'Zr1 Hg1 S1 Cl2'
_space_group_name_H-M_alt 'P 1'
_space_group_IT_number 1
_cell_length_a 5.0460
_cell_length_b 5.0460
_cell_length_c 4.8861
_cell_angle_alpha 90.00
_cell_angle_beta 90.00
_cell_angle_gamma 90.00
loop_
_space_group_symop_operation_xyz
'x,y,z'
loop_
_atom_site_label
_atom_site_fract_x
_atom_site_fract_y
_atom_site_fract_z
Zr1 0.0000 0.0000 0.0000
Hg1 0.5000 0.5000 0.5000
S1 0.0000 0.0000 0.5000
Cl1 0.0000 0.5000 0.0000
Cl2 0.5000 0.0000 0.0000

# ReIrW2 (PBEsol, relaxed)
# Total magnetic moment, μB/atom: 0.0000
# D(E_F), states/eV per cell: 3.4
# ΔE_f, eV/atom: 0.063
data_ReIrW2
_chemical_formula_sum 'Re1 Ir1 W2'
_space_group_name_H-M_alt 'P 1'
_space_group_IT_number 1
_cell_length_a 2.7271
_cell_length_b 3.9334
_cell_length_c 5.6148
_cell_angle_alpha 90.00
_cell_angle_beta 90.00
_cell_angle_gamma 90.00
loop_
_space_group_symop_operation_xyz
'x,y,z'
loop_
_atom_site_label
_atom_site_fract_x
_atom_site_fract_y
_atom_site_fract_z
Re1 0.0000 0.0000 0.0000
Ir1 0.5000 0.5000 0.7523
W1 0.0000 0.0000 0.5145
W2 0.5000 0.5000 0.2450

# CrReNi2 (PBEsol, relaxed)
# Total magnetic moment, μB/atom: 0.0000
# D(E_F), states/eV per cell: 3.9
# Relative energy among the computed polymorphs, meV per atom: 0
# ΔE_f, eV/atom: -0.005
data_CrReNi2
_chemical_formula_sum 'Cr1 Re1 Ni2'
_space_group_name_H-M_alt 'P 1'
_space_group_IT_number 1
_cell_length_a 2.5332
_cell_length_b 4.0870
_cell_length_c 4.4874
_cell_angle_alpha 90.00
_cell_angle_beta 90.00
_cell_angle_gamma 90.00
loop_
_space_group_symop_operation_xyz
'x,y,z'
loop_
_atom_site_label
_atom_site_fract_x
_atom_site_fract_y
_atom_site_fract_z
Cr1 0.0000 0.0000 0.0000
Re1 0.0000 0.5000 0.6741
Ni1 0.5000 0.0000 0.4832
Ni2 0.5000 0.5000 0.1772

# Cd2InPb (PBEsol, relaxed)
# Total magnetic moment, μB/atom: 0.0000
# D(E_F), states/eV per cell: 1.7
# Relative energy among the computed polymorphs, meV per atom: 0
# ΔE_f, eV/atom: 0.038
data_Cd2InPb
_chemical_formula_sum 'Cd2 In1 Pb1'
_space_group_name_H-M_alt 'P 1'
_space_group_IT_number 1
_cell_length_a 3.2788
_cell_length_b 3.2788
_cell_length_c 9.0115
_cell_angle_alpha 90.00
_cell_angle_beta 90.00
_cell_angle_gamma 90.00
loop_
_space_group_symop_operation_xyz
'x,y,z'
loop_
_atom_site_label
_atom_site_fract_x
_atom_site_fract_y
_atom_site_fract_z
Cd1 0.0000 0.0000 0.0000
Cd2 0.5000 0.5000 0.2149
In1 0.0000 0.0000 0.4570
Pb1 0.5000 0.5000 0.7414

# MnCu2Te2 (PBEsol, relaxed)
# Total magnetic moment, μB/atom: 0.9457
# D(E_F), states/eV per cell: 7.3
# Formation energy without anion corrections, kcal/mol of atoms: 0.4
data_MnCu2Te2
_chemical_formula_sum 'Mn4 Cu8 Te8'
_space_group_name_H-M_alt 'P 1'
_space_group_IT_number 1
_cell_length_a 8.3621
_cell_length_b 8.3621
_cell_length_c 8.3621
_cell_angle_alpha 60.00
_cell_angle_beta 60.00
_cell_angle_gamma 60.00
loop_
_space_group_symop_operation_xyz
'x,y,z'
loop_
_atom_site_label
_atom_site_fract_x
_atom_site_fract_y
_atom_site_fract_z
Mn1 0.3755 0.3755 0.3755
Mn2 0.3755 0.3755 0.8734
Mn3 0.3755 0.8734 0.3755
Mn4 0.8734 0.3755 0.3755
Cu1 0.0000 0.0000 0.0000
Cu2 0.2454 0.2454 0.7546
Cu3 0.2454 0.7546 0.2454
Cu4 0.2454 0.7546 0.7546
Cu5 0.7500 0.7500 0.7500
Cu6 0.7546 0.2454 0.2454
Cu7 0.7546 0.2454 0.7546
Cu8 0.7546 0.7546 0.2454
Te1 0.1181 0.6273 0.6273
Te2 0.1313 0.1313 0.1313
Te3 0.1313 0.1313 0.6061
Te4 0.1313 0.6061 0.1313
Te5 0.6061 0.1313 0.1313
Te6 0.6273 0.1181 0.6273
Te7 0.6273 0.6273 0.1181
Te8 0.6273 0.6273 0.6273

# AlAsP2 (PBEsol, relaxed)
# Total magnetic moment, μB/atom: 0.0000
# D(E_F), states/eV per cell: 4.2
# Relative energy among the computed polymorphs, meV per atom: 0
# ΔE_f, eV/atom: 0.053
data_AlAsP2
_chemical_formula_sum 'Al4 As4 P8'
_space_group_name_H-M_alt 'P 1'
_space_group_IT_number 1
_cell_length_a 5.4401
_cell_length_b 5.4401
_cell_length_c 11.7924
_cell_angle_alpha 90.00
_cell_angle_beta 90.00
_cell_angle_gamma 90.00
loop_
_space_group_symop_operation_xyz
'x,y,z'
loop_
_atom_site_label
_atom_site_fract_x
_atom_site_fract_y
_atom_site_fract_z
Al1 0.0000 0.0000 0.0000
Al2 0.0000 0.5000 0.2500
Al3 0.5000 0.0000 0.7500
Al4 0.5000 0.5000 0.5000
As1 0.0000 0.0000 0.5000
As2 0.0000 0.5000 0.7500
As3 0.5000 0.0000 0.2500
As4 0.5000 0.5000 0.0000
P1 0.2307 0.2500 0.1250
P2 0.2500 0.7307 0.3750
P3 0.2500 0.7693 0.8750
P4 0.2693 0.2500 0.6250
P5 0.7307 0.7500 0.6250
P6 0.7500 0.2307 0.8750
P7 0.7500 0.2693 0.3750
P8 0.7693 0.7500 0.1250

Repeat the first record exactly.
# ZrHgSCl2 (PBEsol, relaxed)
# Total magnetic moment, μB/atom: 0.0000
# D(E_F), states/eV per cell: 1.2
# Formation energy without anion corrections, kcal/mol of atoms: -24.5
data_ZrHgSCl2
_chemical_formula_sum 'Zr1 Hg1 S1 Cl2'
_space_group_name_H-M_alt 'P 1'
_space_group_IT_number 1
_cell_length_a 5.0460
_cell_length_b 5.0460
_cell_length_c 4.8861
_cell_angle_alpha 90.00
_cell_angle_beta 90.00
_cell_angle_gamma 90.00
loop_
_space_group_symop_operation_xyz
'x,y,z'
loop_
_atom_site_label
_atom_site_fract_x
_atom_site_fract_y
_atom_site_fract_z
Zr1 0.0000 0.0000 0.0000
Hg1 0.5000 0.5000 0.5000
S1 0.0000 0.0000 0.5000
Cl1 0.0000 0.5000 0.0000
Cl2 0.5000 0.0000 0.0000

Q: Which formula does entry 6 have?
A: AlAsP2

Q: Which value of D(E_F) does entry 4 give?
A: 1.7 states/eV per cell